A plane-wave DFT calculation with PBE was carried out for a relaxed La2TlAg crystal.

Total energy in eV/f.u.: -15.2
Density in kg/m3: 8986
Space group: F-43m

Cell lengths 5.3625, 5.3625, 5.3625 Å; angles 60.00, 60.00, 60.00 degrees
With the nearest neighbours (Å) after each atom.
Sites, in units of the cell vectors:
Ag  0.2500  0.2500  0.2500  4 Tl 3.28, 4 La 3.28
La  0.0000  0.0000  0.0000  4 La 3.28, 4 Ag 3.28
La  0.7500  0.7500  0.7500  4 La 3.28, 4 Tl 3.28
Tl  0.5000  0.5000  0.5000  4 Ag 3.28, 4 La 3.28

A plane-wave DFT calculation with PBE was carried out for a relaxed LuTlZnFe crystal.

Total energy in eV/f.u.: -16.0
Density in kg/m3: 10853
Space group: F-43m
ΔE to the lowest computed polymorph in eV/atom: 0.000

Cell lengths 4.7669, 4.7669, 4.7669 Å; angles 60.00, 60.00, 60.00 degrees
With the nearest neighbours (Å) after each atom.
Sites, in units of the cell vectors:
Fe  0.7500  0.7500  0.7500  4 Tl 2.92, 4 Zn 2.92
Lu  0.2500  0.2500  0.2500  4 Zn 2.92, 4 Tl 2.92
Tl  0.0000  0.0000  0.0000  4 Fe 2.92, 4 Lu 2.92
Zn  0.5000  0.5000  0.5000  4 Lu 2.92, 4 Fe 2.92

A plane-wave DFT calculation with PBE was carried out for a relaxed TmIn2Au2 crystal.

Total energy in eV/f.u.: -18.3
Density in kg/m3: 11510
Space group: P4/nmm

Cell lengths 4.3892, 4.3892, 11.8695 Å; angles 90.00, 90.00, 90.00 degrees
With the nearest neighbours (Å) after each atom.
Sites, in units of the cell vectors:
Au  0.0000  0.0000  0.0000  4 In 2.73
Au  0.5000  0.5000  0.0000  4 In 2.73
Au  0.5000  0.0000  0.3547  5 In 2.59-2.79
Au  0.0000  0.5000  0.6453  5 In 2.59-2.79
In  0.5000  0.0000  0.1364  5 Au 2.59-2.73
In  0.0000  0.0000  0.5000  4 Au 2.79, 4 In 3.10
In  0.5000  0.5000  0.5000  4 Au 2.79, 4 In 3.10
In  0.0000  0.5000  0.8636  5 Au 2.59-2.73
Tm  0.0000  0.5000  0.2454  8 In 3.36-3.73, 8 Au 3.36-3.65
Tm  0.5000  0.0000  0.7546  8 In 3.36-3.73, 8 Au 3.36-3.65

A plane-wave DFT calculation with PBE was carried out for a relaxed CuWS4 crystal.

Total energy in eV/f.u.: -33.9
Density in kg/m3: 5219
Space group: Cmm2
ΔE to the lowest computed polymorph in eV/atom: 0.096

Cell lengths 6.3417, 6.3417, 6.0056 Å; angles 90.00, 90.00, 150.34 degrees
With the nearest neighbours (Å) after each atom.
Sites, in units of the cell vectors:
Cu  0.0000  0.0000  0.0750  4 S 2.25
S  0.6198  0.3802  0.1626  2 Cu 2.25, 1 W 2.46
S  0.3802  0.6198  0.1626  2 Cu 2.25, 1 W 2.46
S  0.8745  0.1255  0.6306  2 W 2.39
S  0.1255  0.8745  0.6306  2 W 2.39
W  0.5000  0.5000  0.4905  6 S 2.39-2.46

A plane-wave DFT calculation with PBE was carried out for a relaxed PmGdGa crystal.

Total energy in eV/f.u.: -13.2
Density in kg/m3: 6873
Space group: F-43m
ΔE to the lowest computed polymorph in eV/atom: 0.000

Cell lengths 5.0278, 5.0278, 5.0278 Å; angles 60.00, 60.00, 60.00 degrees
With the nearest neighbours (Å) after each atom.
Sites, in units of the cell vectors:
Ga  0.0000  0.0000  0.0000  4 Gd 3.08, 4 Pm 3.08
Gd  0.2500  0.2500  0.2500  4 Ga 3.08
Pm  0.7500  0.7500  0.7500  4 Ga 3.08

A plane-wave DFT calculation with PBE was carried out for a relaxed Ba2IrW crystal.

Total energy in eV/f.u.: -20.6
Density in kg/m3: 10711
Space group: F-43m

Cell lengths 5.2252, 5.2252, 5.2252 Å; angles 60.00, 60.00, 60.00 degrees
With the nearest neighbours (Å) after each atom.
Sites, in units of the cell vectors:
Ba  0.0000  0.0000  0.0000  4 W 3.20, 4 Ba 3.20
Ba  0.2500  0.2500  0.2500  4 Ba 3.20, 4 Ir 3.20
Ir  0.5000  0.5000  0.5000  4 Ba 3.20, 4 W 3.20
W  0.7500  0.7500  0.7500  4 Ir 3.20, 4 Ba 3.20

A plane-wave DFT calculation with PBE was carried out for a relaxed DyScPb crystal.

Total energy in eV/f.u.: -15.1
Density in kg/m3: 7686
Space group: F-43m
ΔE to the lowest computed polymorph in eV/atom: 0.000

Cell lengths 5.0226, 5.0226, 5.0226 Å; angles 60.00, 60.00, 60.00 degrees
With the nearest neighbours (Å) after each atom.
Sites, in units of the cell vectors:
Dy  0.2500  0.2500  0.2500  4 Pb 3.08
Pb  0.0000  0.0000  0.0000  4 Dy 3.08, 4 Sc 3.08
Sc  0.7500  0.7500  0.7500  4 Pb 3.08

A plane-wave DFT calculation with PBE was carried out for a relaxed TmCdPO crystal.

Total energy in eV/f.u.: -21.7
Density in kg/m3: 6732
Space group: Pmc2_1

Cell lengths 4.2679, 6.5841, 5.7643 Å; angles 90.00, 90.00, 90.00 degrees
With the nearest neighbours (Å) after each atom.
Sites, in units of the cell vectors:
Cd  0.0000  0.3665  0.0040  2 O 2.28-2.41, 2 P 2.45
Cd  0.0000  0.6335  0.5040  2 O 2.28-2.41, 2 P 2.45
O  0.0000  0.2966  0.4148  2 Tm 2.21, 2 Cd 2.28-2.41
O  0.0000  0.7034  0.9148  2 Tm 2.21, 2 Cd 2.28-2.41
P  0.5000  0.7979  0.4117  2 Cd 2.45, 1 Tm 2.72
P  0.5000  0.2021  0.9117  2 Cd 2.45, 1 Tm 2.72
Tm  0.5000  0.2107  0.4235  2 O 2.21
Tm  0.5000  0.7893  0.9235  2 O 2.21

A plane-wave DFT calculation with PBE was carried out for a relaxed Th2ZnOs2 crystal.

Total energy in eV/f.u.: -40.2
Density in kg/m3: 13806
ΔE_f in eV/atom: -0.33
Space group: C2/c

Cell lengths 5.7511, 5.7511, 8.2667 Å; angles 106.16, 106.16, 57.60 degrees
With the nearest neighbours (Å) after each atom.
Sites, in units of the cell vectors:
Os  0.2943  0.9813  0.0294  2 Zn 2.62-2.80, 1 Os 2.67, 3 Th 2.87-2.93
Os  0.0187  0.7057  0.4706  2 Zn 2.62-2.80, 1 Os 2.67, 3 Th 2.87-2.93
Os  0.9813  0.2943  0.5294  2 Zn 2.62-2.80, 1 Os 2.67, 3 Th 2.87-2.93
Os  0.7057  0.0187  0.9706  2 Zn 2.62-2.80, 1 Os 2.67, 3 Th 2.87-2.93
Th  0.8023  0.4893  0.1464  4 Os 2.87-2.95
Th  0.5107  0.1977  0.3536  4 Os 2.87-2.95
Th  0.4893  0.8023  0.6464  4 Os 2.87-2.95
Th  0.1977  0.5107  0.8536  4 Os 2.87-2.95
Zn  0.1349  0.8651  0.2500  4 Os 2.62-2.80
Zn  0.8651  0.1349  0.7500  4 Os 2.62-2.80

A plane-wave DFT calculation with PBE was carried out for a relaxed Pm2As2O5 crystal.

Total energy in eV/f.u.: -59.2
Density in kg/m3: 7310
Space group: P4/mmm
ΔE to the lowest computed polymorph in eV/atom: 0.000

Cell lengths 6.9406, 4.1247, 4.1247 Å; angles 90.00, 90.00, 90.00 degrees
With the nearest neighbours (Å) after each atom.
Sites, in units of the cell vectors:
As  0.2137  0.5000  0.5000  5 O 1.99-2.07
As  0.7863  0.5000  0.5000  5 O 1.99-2.07
O  0.2394  0.5000  0.0000  2 As 2.07
O  0.7605  0.5000  0.0000  2 As 2.07
O  0.2394  0.0000  0.5000  2 As 2.07
O  0.7605  0.0000  0.5000  2 As 2.07
O  0.5000  0.5000  0.5000  2 As 1.99
Pm  0.0000  0.0000  0.0000  8 O 2.65
Pm  0.5000  0.0000  0.0000  12 O 2.74-2.92

A plane-wave DFT calculation with PBE was carried out for a relaxed NdTh crystal.

Total energy in eV/f.u.: -8.5
Density in kg/m3: 7843
ΔE_f in eV/atom: 1.82
Space group: F-43m
ΔE to the lowest computed polymorph in eV/atom: 1.743

Cell lengths 4.8299, 4.8299, 4.8299 Å; angles 60.00, 60.00, 60.00 degrees
With the nearest neighbours (Å) after each atom.
Sites, in units of the cell vectors:
Nd  0.0000  0.0000  0.0000  4 Th 2.96
Th  0.2500  0.2500  0.2500  4 Nd 2.96

A plane-wave DFT calculation with PBE was carried out for a relaxed Sn2Pt crystal.

Total energy in eV/f.u.: -15.2
Density in kg/m3: 10114
Space group: Pa-3

Cell lengths 6.5734, 6.5734, 6.5734 Å; angles 90.00, 90.00, 90.00 degrees
With the nearest neighbours (Å) after each atom.
Sites, in units of the cell vectors:
Pt  0.0000  0.0000  0.0000  6 Sn 2.71
Pt  0.5000  0.5000  0.0000  6 Sn 2.71
Pt  0.5000  0.0000  0.5000  6 Sn 2.71
Pt  0.0000  0.5000  0.5000  6 Sn 2.71
Sn  0.8678  0.3678  0.1322  3 Pt 2.71, 1 Sn 3.01
Sn  0.6322  0.8678  0.1322  3 Pt 2.71, 1 Sn 3.01
Sn  0.3678  0.3678  0.3678  3 Pt 2.71, 1 Sn 3.01
Sn  0.1322  0.8678  0.3678  3 Pt 2.71, 1 Sn 3.01
Sn  0.8678  0.1322  0.6322  3 Pt 2.71, 1 Sn 3.01
Sn  0.6322  0.6322  0.6322  3 Pt 2.71, 1 Sn 3.01
Sn  0.3678  0.1322  0.8678  3 Pt 2.71, 1 Sn 3.01
Sn  0.1322  0.6322  0.8678  3 Pt 2.71, 1 Sn 3.01

A plane-wave DFT calculation with PBE was carried out for a relaxed NpBTe crystal.

Total energy in eV/f.u.: -21.3
Density in kg/m3: 10507
Space group: F-43m
ΔE to the lowest computed polymorph in eV/atom: 0.000

Cell lengths 4.3779, 4.3779, 4.3779 Å; angles 60.00, 60.00, 60.00 degrees
With the nearest neighbours (Å) after each atom.
Sites, in units of the cell vectors:
B  0.0000  0.0000  0.0000  4 Np 2.68, 4 Te 2.68
Np  0.2500  0.2500  0.2500  4 B 2.68
Te  0.7500  0.7500  0.7500  4 B 2.68

The records above yield volume values of 27.26 19.15 22.87 19.92 29.96 25.22 29.86 20.25 21.89 13.12 39.84 23.67 19.78 A^3/atom, respectively.